Below is a relaxed structure of CeMg3Sb3, with properties calculated at the PBE-GGA level.

Crystal system   trigonal
Final energy   -3.859 eV per atom
ρ   4.5 g/cm3

a = 8.1779 Å, b = 8.1779 Å, c = 22.2931 Å
α = 90.00°, β = 90.00°, γ = 120.00°
With the nearest neighbours (Å) after each atom.
Space group R-3 (No. 148, hexagonal axes)
Inequivalent atoms, fractional coordinates:
Ce (0.0000, 0.0000, 0.1663)  6 Sb 3.23-3.25
Mg (0.0038, 0.3276, 0.6209)  4 Sb 2.86-2.95
Sb (0.0024, 0.3407, 0.4199)  4 Mg 2.86-2.95



Below is a relaxed structure of CeNi2H8Pt, with properties calculated at the PBE-GGA level.

Crystal system   trigonal
Final energy   -4.395 eV per atom
ρ   7.6 g/cm3

a = 4.4560 Å, b = 4.4560 Å, c = 17.5831 Å
α = 90.00°, β = 90.00°, γ = 120.00°
With the nearest neighbours (Å) after each atom.
Space group R-3 (No. 148, hexagonal axes)
Inequivalent atoms, fractional coordinates:
Ce (0.0000, 0.0000, 0.0000)  12 H 2.41-2.58
Ni (0.0000, 0.0000, 0.2337)  4 H 1.54-1.62
H (0.0000, 0.0000, 0.3213)  1 Ni 1.54
H (0.0031, 0.3636, 0.2234)  1 Ni 1.62, 1 Pt 1.73
Pt (0.0000, 0.0000, 0.5000)  6 H 1.73



Below is a relaxed structure of BaNa8Sr5, with properties calculated at the PBE-GGA level.

Crystal system   tetragonal
ρ   1.9 g/cm3
Formation energy   101 meV/atom

a = 10.3512 Å, b = 10.3512 Å, c = 12.5133 Å
α = 90.00°, β = 90.00°, γ = 90.00°
With the nearest neighbours (Å) after each atom.
Space group I-4 (No. 82)
Inequivalent atoms, fractional coordinates:
Ba (0.0000, 0.0000, 0.0000)  4 Na 3.89
Na (0.0776, 0.1622, 0.3910)  5 Na 3.59-3.79, 5 Sr 3.79-4.02
Na (0.0946, 0.3634, 0.9824)  3 Na 3.44-3.71, 2 Sr 3.76-3.84
Sr (0.0000, 0.5000, 0.2500)  8 Na 3.76-4.00
Sr (0.1567, 0.2767, 0.6888)  8 Na 3.79-4.02



Below is a relaxed structure of Sc2In3Ag4, with properties calculated at the PBE-GGA level.

Crystal system   monoclinic
ρ   7.8 g/cm3
Formation energy   -222 meV/atom

a = 8.3894 Å, b = 4.8495 Å, c = 9.0127 Å
α = 90.00°, β = 90.11°, γ = 90.00°
With the nearest neighbours (Å) after each atom.
Space group C2/m (No. 12)
Inequivalent atoms, fractional coordinates:
Sc (0.1665, 0.0000, 0.2843)  7 Ag 2.89-2.97, 1 In 3.21
In (0.0000, 0.5000, 0.5000)  8 Ag 2.94-2.95
In (0.1667, 0.0000, 0.9281)  4 Ag 2.91-2.95, 3 In 3.08-3.09, 1 Sc 3.21
Ag (0.9998, 0.5000, 0.1733)  4 In 2.94-2.95, 3 Sc 2.97, 1 Ag 3.12
Ag (0.1668, 0.0000, 0.6052)  4 Sc 2.89-2.97, 4 In 2.91-2.95



Below is a relaxed structure of YPW3, with properties calculated at the PBE-GGA level.

Crystal system   cubic
ρ   11.7 g/cm3
Formation energy   519 meV/atom

a = 4.5730 Å, b = 4.5730 Å, c = 4.5730 Å
α = 90.00°, β = 90.00°, γ = 90.00°
With the nearest neighbours (Å) after each atom.
Space group Pm-3m (No. 221)
Inequivalent atoms, fractional coordinates:
Y (0.0000, 0.0000, 0.0000)  12 W 3.23
P (0.5000, 0.5000, 0.5000)  6 W 2.29
W (0.0000, 0.5000, 0.5000)  2 P 2.29



Below is a relaxed structure of YThGaOs, with properties calculated at the PBE-GGA level.

Crystal system   cubic
ρ   10.6 g/cm3
Formation energy   -292 meV/atom

a = 7.1398 Å, b = 7.1398 Å, c = 7.1398 Å
α = 90.00°, β = 90.00°, γ = 90.00°
With the nearest neighbours (Å) after each atom.
Space group F-43m (No. 216)
Inequivalent atoms, fractional coordinates:
Y (0.0000, 0.0000, 0.0000)  4 Os 3.09, 4 Ga 3.09
Th (0.0000, 0.0000, 0.5000)  4 Ga 3.09, 4 Os 3.09
Ga (0.2500, 0.2500, 0.2500)  4 Th 3.09, 4 Y 3.09
Os (0.2500, 0.2500, 0.7500)  4 Th 3.09, 4 Y 3.09